Computed, not measured: crystalline Mg2PW at its relaxed geometry at the PBEsol level of DFT.

Values from the calculation:
* space group: No. 166
* DOS(E_F): 0.529 states/eV/atom
* magnetization: 0.0000 μB per atom
* formation energy from the elements: 111 kJ/mol of formula units

a b c (Å): 2.9402 2.9402 26.4048
angles (deg): 90.00 90.00 120.00
Sites, in units of the cell vectors:
Mg  0.0000  0.0000  0.2455
Mg  0.0000  0.0000  0.7545
Mg  0.3333  0.6667  0.4211
Mg  0.3333  0.6667  0.9122
Mg  0.6667  0.3333  0.0878
Mg  0.6667  0.3333  0.5789
P  0.0000  0.0000  0.5000
P  0.3333  0.6667  0.1667
P  0.6667  0.3333  0.8333
W  0.0000  0.0000  0.0000
W  0.3333  0.6667  0.6667
W  0.6667  0.3333  0.3333